1.
LaZr2Zn9 (GGA-PBE, optimized geometry); final energy = -0.11350 hartree per atom; formation energy = -3.57 eV per formula unit; spin magnetization = 1.83 Bohr magnetons per cell
1.0
2.677 1.546 8.491
-2.677 1.546 8.491
0.000 -3.092 8.491
La Zr Zn
1 2 9
direct
0.000 0.000 0.000 La
0.145 0.145 0.145 Zr
0.855 0.855 0.855 Zr
0.078 0.591 0.591 Zn
0.336 0.336 0.336 Zn
0.409 0.409 0.922 Zn
0.409 0.922 0.409 Zn
0.500 0.500 0.500 Zn
0.591 0.078 0.591 Zn
0.591 0.591 0.078 Zn
0.664 0.664 0.664 Zn
0.922 0.409 0.409 Zn

***

2.
Ca2TlTc (GGA-PBE, optimized geometry); distance to the lowest polymorph of the same formula = 0.056 eV per atom; final energy = -0.14082 hartree per atom; formation energy = 1.41 eV per formula unit; spin magnetization = 0.50 Bohr magnetons per cell
1.0
-2.277 2.277 4.565
2.277 -2.277 4.565
2.277 2.277 -4.565
Ca Tl Tc
2 1 1
direct
0.000 0.000 0.000 Ca
0.750 0.250 0.500 Ca
0.500 0.500 0.000 Tl
0.250 0.750 0.500 Tc

***

3.
KCu2PbBr8 (GGA-PBE, optimized geometry); formation energy from raw total energies = -557 meV per atom; final energy = -0.10126 hartree per atom; spin magnetization = 0.85 Bohr magnetons per cell
1.0
-3.544 3.544 7.767
3.544 -3.544 7.767
3.544 3.544 -7.767
K Cu Pb Br
1 2 1 8
direct
0.000 0.000 0.000 K
0.500 0.500 0.000 Cu
0.750 0.250 0.500 Cu
0.250 0.750 0.500 Pb
0.294 0.450 0.605 Br
0.311 0.706 0.156 Br
0.419 0.041 0.077 Br
0.550 0.155 0.844 Br
0.658 0.581 0.622 Br
0.845 0.689 0.395 Br
0.959 0.036 0.378 Br
0.964 0.342 0.923 Br

***

Which value of final energy does entry 2 give?
-0.14082 hartree per atom